Entry 1:
DFT (PBE) results for an optimized crystal structure of ThAlCdAu.

Output
**SG**: No. 216

Unit cell a=7.1447 b=7.1447 c=7.1447 alpha=90.00 beta=90.00 gamma=90.00
Closest atoms and distances in Å follow each position.
Sites, in units of the cell vectors:
Th (0.0000, 0.0000, 0.0000)  4 Al 3.09, 4 Au 3.09
Th (0.0000, 0.5000, 0.5000)  4 Al 3.09, 4 Au 3.09
Th (0.5000, 0.0000, 0.5000)  4 Al 3.09, 4 Au 3.09
Th (0.5000, 0.5000, 0.0000)  4 Al 3.09, 4 Au 3.09
Al (0.2500, 0.2500, 0.2500)  4 Cd 3.09, 4 Th 3.09
Al (0.2500, 0.7500, 0.7500)  4 Cd 3.09, 4 Th 3.09
Al (0.7500, 0.2500, 0.7500)  4 Cd 3.09, 4 Th 3.09
Al (0.7500, 0.7500, 0.2500)  4 Cd 3.09, 4 Th 3.09
Cd (0.0000, 0.0000, 0.5000)  4 Al 3.09, 4 Au 3.09
Cd (0.0000, 0.5000, 0.0000)  4 Al 3.09, 4 Au 3.09
Cd (0.5000, 0.0000, 0.0000)  4 Al 3.09, 4 Au 3.09
Cd (0.5000, 0.5000, 0.5000)  4 Al 3.09, 4 Au 3.09
Au (0.2500, 0.2500, 0.7500)  4 Cd 3.09, 4 Th 3.09
Au (0.2500, 0.7500, 0.2500)  4 Cd 3.09, 4 Th 3.09
Au (0.7500, 0.2500, 0.2500)  4 Cd 3.09, 4 Th 3.09
Au (0.7500, 0.7500, 0.7500)  4 Cd 3.09, 4 Th 3.09

---

Entry 2:
DFT (PBE) results for an optimized crystal structure of CdIn8Pb6.

Output
**SG**: No. 147

Unit cell a=8.4102 b=8.4102 c=7.5427 alpha=90.00 beta=90.00 gamma=120.00
Closest atoms and distances in Å follow each position.
Sites, in units of the cell vectors:
Cd (0.0000, 0.0000, 0.0000)  6 Pb 3.26
In (0.0068, 0.3330, 0.4177)  4 In 3.04-3.13, 1 Pb 3.20
In (0.3262, 0.9932, 0.4177)  4 In 3.04-3.13, 1 Pb 3.20
In (0.3330, 0.3262, 0.5823)  4 In 3.04-3.13, 1 Pb 3.20
In (0.3333, 0.6667, 0.2330)  3 In 3.11, 6 Pb 3.45-3.47
In (0.6667, 0.3333, 0.7670)  3 In 3.11, 6 Pb 3.45-3.47
In (0.6670, 0.6738, 0.4177)  4 In 3.04-3.13, 1 Pb 3.20
In (0.6738, 0.0068, 0.5823)  4 In 3.04-3.13, 1 Pb 3.20
In (0.9932, 0.6670, 0.5823)  4 In 3.04-3.13, 1 Pb 3.20
Pb (0.1012, 0.4087, 0.8668)  5 In 3.20-3.48, 1 Cd 3.26, 1 Pb 3.45
Pb (0.3075, 0.8988, 0.8668)  5 In 3.20-3.48, 1 Cd 3.26, 1 Pb 3.45
Pb (0.4087, 0.3075, 0.1332)  5 In 3.20-3.48, 1 Cd 3.26, 1 Pb 3.45
Pb (0.5913, 0.6925, 0.8668)  5 In 3.20-3.48, 1 Cd 3.26, 1 Pb 3.45
Pb (0.6925, 0.1012, 0.1332)  5 In 3.20-3.48, 1 Cd 3.26, 1 Pb 3.45
Pb (0.8988, 0.5913, 0.1332)  5 In 3.20-3.48, 1 Cd 3.26, 1 Pb 3.45

---

Entry 3:
DFT (PBE) results for an optimized crystal structure of GdLuTc.

Output
**SG**: No. 107

Unit cell a=3.4465 b=3.4465 c=12.2961 alpha=90.00 beta=90.00 gamma=90.00
Closest atoms and distances in Å follow each position.
Sites, in units of the cell vectors:
Gd (0.0000, 0.0000, 0.0000)  4 Tc 2.95, 1 Lu 3.23
Gd (0.5000, 0.5000, 0.5000)  4 Tc 2.95, 1 Lu 3.23
Lu (0.0000, 0.0000, 0.2624)  4 Tc 2.89, 1 Gd 3.23
Lu (0.5000, 0.5000, 0.7624)  4 Tc 2.89, 1 Gd 3.23
Tc (0.0000, 0.0000, 0.6357)  4 Lu 2.89, 4 Gd 2.95
Tc (0.5000, 0.5000, 0.1357)  4 Lu 2.89, 4 Gd 2.95

---

Entry 4:
DFT (PBE) results for an optimized crystal structure of SrAsOs2.

Output
**SG**: No. 216

Unit cell a=6.6551 b=6.6551 c=6.6551 alpha=90.00 beta=90.00 gamma=90.00
Closest atoms and distances in Å follow each position.
Sites, in units of the cell vectors:
Sr (0.0000, 0.0000, 0.0000)  4 Os 2.88, 4 As 2.88
Sr (0.0000, 0.5000, 0.5000)  4 Os 2.88, 4 As 2.88
Sr (0.5000, 0.0000, 0.5000)  4 Os 2.88, 4 As 2.88
Sr (0.5000, 0.5000, 0.0000)  4 Os 2.88, 4 As 2.88
As (0.2500, 0.2500, 0.7500)  4 Sr 2.88, 4 Os 2.88
As (0.2500, 0.7500, 0.2500)  4 Sr 2.88, 4 Os 2.88
As (0.7500, 0.2500, 0.2500)  4 Sr 2.88, 4 Os 2.88
As (0.7500, 0.7500, 0.7500)  4 Sr 2.88, 4 Os 2.88
Os (0.0000, 0.0000, 0.5000)  4 As 2.88, 4 Os 2.88
Os (0.0000, 0.5000, 0.0000)  4 As 2.88, 4 Os 2.88
Os (0.2500, 0.2500, 0.2500)  4 Os 2.88, 4 Sr 2.88
Os (0.2500, 0.7500, 0.7500)  4 Os 2.88, 4 Sr 2.88
Os (0.5000, 0.0000, 0.0000)  4 As 2.88, 4 Os 2.88
Os (0.5000, 0.5000, 0.5000)  4 As 2.88, 4 Os 2.88
Os (0.7500, 0.2500, 0.7500)  4 Os 2.88, 4 Sr 2.88
Os (0.7500, 0.7500, 0.2500)  4 Os 2.88, 4 Sr 2.88

---

Number 1: E -0.15314 hartree per atom, formation enthalpy at 0 K -0.3284 eV/atom. Number 2: E -0.10753 hartree per atom, formation enthalpy at 0 K 0.0788 eV/atom. Number 3: E -0.35738 hartree per atom, formation enthalpy at 0 K -0.0688 eV/atom. Number 4: E -0.23108 hartree per atom, formation enthalpy at 0 K 0.9096 eV/atom.